# 1
First-principles (PBE) data for crystalline TbDyAs at its relaxed geometry, as listed in the Open Quantum Materials Database.

Geometry as CIF:
```
data_TbDyAs
_chemical_formula_sum 'Tb4 Dy4 As4'
_cell_length_a 6.821
_cell_length_b 6.821
_cell_length_c 6.821
_cell_angle_alpha 90.00
_cell_angle_beta 90.00
_cell_angle_gamma 90.00
_symmetry_space_group_name_H-M 'F -4 3 m'
_symmetry_Int_Tables_number 216
_symmetry_space_group_name_Hall 'F -4 2 3'
loop_
_atom_site_label
_atom_site_type_symbol
_atom_site_fract_x
_atom_site_fract_y
_atom_site_fract_z
_atom_site_occupancy
Tb1 Tb 0.000 0.000 0.000 1
Dy1 Dy 0.000 0.000 0.500 1
As1 As 0.250 0.250 0.750 1
```



# 2
First-principles (PBE) data for crystalline SmYGe2Au2 at its relaxed geometry, as listed in the Open Quantum Materials Database.

Geometry as CIF:
```
data_SmYGe2Au2
_chemical_formula_sum 'Sm1 Y1 Ge2 Au2'
_cell_length_a 4.4941
_cell_length_b 4.4941
_cell_length_c 7.4194
_cell_angle_alpha 90.00
_cell_angle_beta 90.00
_cell_angle_gamma 120.00
_symmetry_space_group_name_H-M 'P 3 m 1'
_symmetry_Int_Tables_number 156
_symmetry_space_group_name_Hall 'P 3 -2"'
loop_
_atom_site_label
_atom_site_type_symbol
_atom_site_fract_x
_atom_site_fract_y
_atom_site_fract_z
_atom_site_occupancy
Sm1 Sm 0.0000 0.0000 0.0000 1
Y1 Y 0.0000 0.0000 0.4990 1
Ge1 Ge 0.3333 0.6667 0.2127 1
Ge2 Ge 0.6667 0.3333 0.7053 1
Au1 Au 0.3333 0.6667 0.7735 1
Au2 Au 0.6667 0.3333 0.2922 1
```



# 3
# NdZnInTe3 (PBE, optimized geometry)
data_NdZnInTe3
_chemical_formula_sum 'Nd4 Zn4 In4 Te12'
_cell_length_a 11.845
_cell_length_b 4.396
_cell_length_c 15.377
_cell_angle_alpha 90.00
_cell_angle_beta 90.00
_cell_angle_gamma 90.00
_symmetry_space_group_name_H-M 'P n m a'
_symmetry_Int_Tables_number 62
_symmetry_space_group_name_Hall '-P 2ac 2n'
loop_
_atom_site_label
_atom_site_type_symbol
_atom_site_fract_x
_atom_site_fract_y
_atom_site_fract_z
_atom_site_occupancy
Nd1 Nd 0.018 0.250 0.242 1
Zn1 Zn 0.235 0.250 0.718 1
In1 In 0.217 0.750 0.507 1
Te1 Te 0.049 0.250 0.617 1
Te2 Te 0.092 0.750 0.106 1
Te3 Te 0.236 0.750 0.827 1
# E above lowest polymorph (meV per atom): 0



# 4
# Ir6OsW (PBE, optimized geometry)
data_Ir6OsW
_chemical_formula_sum 'Ir6 Os1 W1'
_cell_length_a 5.5373
_cell_length_b 5.5373
_cell_length_c 4.4081
_cell_angle_alpha 90.00
_cell_angle_beta 90.00
_cell_angle_gamma 120.00
_symmetry_space_group_name_H-M 'P -6 m 2'
_symmetry_Int_Tables_number 187
_symmetry_space_group_name_Hall 'P -6 2'
loop_
_atom_site_label
_atom_site_type_symbol
_atom_site_fract_x
_atom_site_fract_y
_atom_site_fract_z
_atom_site_occupancy
Ir1 Ir 0.1681 0.3363 0.0000 1
Ir2 Ir 0.3304 0.1652 0.5000 1
Os1 Os 0.3333 0.6667 0.5000 1
W1 W 0.6667 0.3333 0.0000 1
# Formation energy (eV per atom): -0.138



# 5
First-principles (PBE) data for crystalline ErLuSn2Os at its relaxed geometry, as listed in the Open Quantum Materials Database.

Geometry as CIF:
```
data_ErLuSn2Os
_chemical_formula_sum 'Er4 Lu4 Sn8 Os4'
_cell_length_a 10.787
_cell_length_b 4.412
_cell_length_c 10.897
_cell_angle_alpha 90.00
_cell_angle_beta 114.77
_cell_angle_gamma 90.00
_symmetry_space_group_name_H-M 'C 1 2/m 1'
_symmetry_Int_Tables_number 12
_symmetry_space_group_name_Hall '-C 2y'
loop_
_atom_site_label
_atom_site_type_symbol
_atom_site_fract_x
_atom_site_fract_y
_atom_site_fract_z
_atom_site_occupancy
Er1 Er 0.185 0.000 0.130 1
Lu1 Lu 0.002 0.000 0.671 1
Sn1 Sn 0.035 0.500 0.885 1
Sn2 Sn 0.155 0.500 0.549 1
Os1 Os 0.219 0.500 0.325 1
```



# 6
First-principles (PBE) data for crystalline YTmSn2Ir at its relaxed geometry, as listed in the Open Quantum Materials Database.

Geometry as CIF:
```
data_YTmSn2Ir
_chemical_formula_sum 'Y4 Tm4 Sn8 Ir4'
_cell_length_a 10.856
_cell_length_b 4.503
_cell_length_c 10.853
_cell_angle_alpha 90.00
_cell_angle_beta 115.75
_cell_angle_gamma 90.00
_symmetry_space_group_name_H-M 'C 1 2/m 1'
_symmetry_Int_Tables_number 12
_symmetry_space_group_name_Hall '-C 2y'
loop_
_atom_site_label
_atom_site_type_symbol
_atom_site_fract_x
_atom_site_fract_y
_atom_site_fract_z
_atom_site_occupancy
Y1 Y 0.186 0.000 0.127 1
Tm1 Tm 0.002 0.000 0.671 1
Sn1 Sn 0.031 0.500 0.882 1
Sn2 Sn 0.154 0.500 0.547 1
Ir1 Ir 0.226 0.500 0.326 1
```



# 7
# TlFePtW (PBE, optimized geometry)
data_TlFePtW
_chemical_formula_sum 'Tl4 Fe4 Pt4 W4'
_cell_length_a 6.418
_cell_length_b 6.418
_cell_length_c 6.418
_cell_angle_alpha 90.00
_cell_angle_beta 90.00
_cell_angle_gamma 90.00
_symmetry_space_group_name_H-M 'F -4 3 m'
_symmetry_Int_Tables_number 216
_symmetry_space_group_name_Hall 'F -4 2 3'
loop_
_atom_site_label
_atom_site_type_symbol
_atom_site_fract_x
_atom_site_fract_y
_atom_site_fract_z
_atom_site_occupancy
Tl1 Tl 0.000 0.000 0.000 1
Fe1 Fe 0.250 0.250 0.250 1
Pt1 Pt 0.000 0.000 0.500 1
W1 W 0.250 0.250 0.750 1
# E above lowest polymorph (meV per atom): 75



# 8
First-principles (PBE) data for crystalline Cu2Te at its relaxed geometry, as listed in the Open Quantum Materials Database.

Geometry as CIF:
```
data_Cu2Te
_chemical_formula_sum 'Cu4 Te2'
_cell_length_a 4.2614
_cell_length_b 4.2614
_cell_length_c 16.7323
_cell_angle_alpha 90.00
_cell_angle_beta 90.00
_cell_angle_gamma 120.00
_symmetry_space_group_name_H-M 'P -3 m 1'
_symmetry_Int_Tables_number 164
_symmetry_space_group_name_Hall '-P 3 2"'
loop_
_atom_site_label
_atom_site_type_symbol
_atom_site_fract_x
_atom_site_fract_y
_atom_site_fract_z
_atom_site_occupancy
Cu1 Cu 0.0000 0.0000 0.0773 1
Cu2 Cu 0.3333 0.6667 0.9688 1
Te1 Te 0.3333 0.6667 0.1262 1
```



# 9
First-principles (PBE) data for crystalline Tb2Sm2Al3 at its relaxed geometry, as listed in the Open Quantum Materials Database.

Geometry as CIF:
```
data_Tb2Sm2Al3
_chemical_formula_sum 'Tb4 Sm4 Al6'
_cell_length_a 17.151
_cell_length_b 4.004
_cell_length_c 5.861
_cell_angle_alpha 90.00
_cell_angle_beta 95.70
_cell_angle_gamma 90.00
_symmetry_space_group_name_H-M 'C 1 2/m 1'
_symmetry_Int_Tables_number 12
_symmetry_space_group_name_Hall '-C 2y'
loop_
_atom_site_label
_atom_site_type_symbol
_atom_site_fract_x
_atom_site_fract_y
_atom_site_fract_z
_atom_site_occupancy
Tb1 Tb 0.165 0.000 0.359 1
Sm1 Sm 0.089 0.500 0.845 1
Al1 Al 0.000 0.000 0.500 1
Al2 Al 0.230 0.000 0.863 1
```



# 10
# ReC2 (PBE, optimized geometry)
data_ReC2
_chemical_formula_sum 'Re2 C4'
_cell_length_a 2.775
_cell_length_b 2.775
_cell_length_c 6.722
_cell_angle_alpha 90.00
_cell_angle_beta 90.00
_cell_angle_gamma 90.00
_symmetry_space_group_name_H-M 'I 4/m m m'
_symmetry_Int_Tables_number 139
_symmetry_space_group_name_Hall '-I 4 2'
loop_
_atom_site_label
_atom_site_type_symbol
_atom_site_fract_x
_atom_site_fract_y
_atom_site_fract_z
_atom_site_occupancy
Re1 Re 0.000 0.000 0.000 1
C1 C 0.000 0.000 0.334 1
# E above lowest polymorph (meV per atom): 1066



# 11
# Hf2Pd (PBE, optimized geometry)
data_Hf2Pd
_chemical_formula_sum 'Hf4 Pd2'
_cell_length_a 3.284
_cell_length_b 3.284
_cell_length_c 10.778
_cell_angle_alpha 90.00
_cell_angle_beta 90.00
_cell_angle_gamma 90.00
_symmetry_space_group_name_H-M 'I 4/m m m'
_symmetry_Int_Tables_number 139
_symmetry_space_group_name_Hall '-I 4 2'
loop_
_atom_site_label
_atom_site_type_symbol
_atom_site_fract_x
_atom_site_fract_y
_atom_site_fract_z
_atom_site_occupancy
Hf1 Hf 0.000 0.000 0.159 1
Pd1 Pd 0.000 0.000 0.500 1
# Formation energy (eV per atom): -0.529



# 12
First-principles (PBE) data for crystalline K2In4PtAu at its relaxed geometry, as listed in the Open Quantum Materials Database.

Geometry as CIF:
```
data_K2In4PtAu
_chemical_formula_sum 'K4 In8 Pt2 Au2'
_cell_length_a 8.163
_cell_length_b 4.633
_cell_length_c 11.720
_cell_angle_alpha 90.00
_cell_angle_beta 90.00
_cell_angle_gamma 90.00
_symmetry_space_group_name_H-M 'A m m 2'
_symmetry_Int_Tables_number 38
_symmetry_space_group_name_Hall 'A 2 -2'
loop_
_atom_site_label
_atom_site_type_symbol
_atom_site_fract_x
_atom_site_fract_y
_atom_site_fract_z
_atom_site_occupancy
K1 K 0.000 0.000 0.000 1
K2 K 0.500 0.000 0.105 1
In1 In 0.187 0.000 0.714 1
In2 In 0.298 0.000 0.391 1
Pt1 Pt 0.000 0.000 0.273 1
Au1 Au 0.500 0.000 0.828 1
```



Values of DFT total energy, in order: -16.174, -32.010, -22.917, -78.418, -30.716, -31.705, -27.262, -10.677, -31.198, -26.340, -26.672, -24.949, all in eV/f.u..